(1)
## ZrReSi2 (PBE)

Data for crystalline ZrReSi2 at its relaxed geometry.

The formation energy (no corrections) is -0.158 eV/atom.

The structure belongs to space group Imm2 (No. 44); the cell edges are 3.3054, 4.2987 and 8.9258 Å and the angles 90.00°, 90.00° and 90.00°. The distinct sites, in fractional coordinates, are Zr at (0.0000, 0.0000, 0.0000), Re at (0.0000, 0.5000, 0.7638), Si at (0.0000, 0.0000, 0.4758) and Si at (0.0000, 0.5000, 0.2396).

***

(2)
## Pm2CdSe (PBE)

Data for crystalline Pm2CdSe at its relaxed geometry.

For the energy above the lowest structure with this stoichiometry, the calculation gives 0 meV per atom. The formation energy (no corrections) is -1.015 eV/atom.

The structure belongs to space group R-3m (No. 166, hexagonal axes); the cell edges are 4.1239, 4.1239 and 23.3523 Å and the angles 90.00°, 90.00° and 120.00°. The distinct sites, in fractional coordinates, are Pm at (0.0000, 0.0000, 0.2407), Cd at (0.0000, 0.0000, 0.0000) and Se at (0.0000, 0.0000, 0.5000).

***

(3)
## Li2CdRe (PBE)

Data for crystalline Li2CdRe at its relaxed geometry.

Its formation energy is 456 meV per atom.

The structure belongs to space group P4/mmm (No. 123); the cell edges are 4.7358, 4.7358 and 2.6509 Å and the angles 90.00°, 90.00° and 90.00°. The distinct sites, in fractional coordinates, are Li at (0.0000, 0.5000, 0.0000), Cd at (0.0000, 0.0000, 0.5000) and Re at (0.5000, 0.5000, 0.5000).

***

(4)
## KNaHf2Cd (PBE)

Data for crystalline KNaHf2Cd at its relaxed geometry.

Its formation energy is 1907 meV per atom.

The structure belongs to space group P4/mmm (No. 123); the cell edges are 5.1875, 5.1875 and 5.6430 Å and the angles 90.00°, 90.00° and 90.00°. The distinct sites, in fractional coordinates, are K at (0.0000, 0.0000, 0.0000), Na at (0.5000, 0.5000, 0.5000), Hf at (0.0000, 0.5000, 0.0000) and Cd at (0.0000, 0.0000, 0.5000).

***

| no. | DFT total energy (eV/f.u.) |
| --- | --- |
| 1 | -32.5 |
| 2 | -18.0 |
| 3 | -15.4 |
| 4 | -13.7 |